# 1
The following is a PBE calculation of a geometry-optimized HoHgF structure, from Alexandria via LeMat-Bulk.

E_tot in eV per atom: -4.035

abc: 3.899 3.899 9.820
angles: 90.00 90.00 120.00
Element x y z (fractional)
Hg: 0.444 0.889 0.500
Hg: 0.444 0.889 0.000
F: 0.111 0.222 0.750
F: 0.111 0.222 0.250
Ho: 0.778 0.556 0.750
Ho: 0.778 0.556 0.250

# 2
The following is a PBE calculation of a geometry-optimized Pu2SiSe4 structure, from Alexandria via LeMat-Bulk.

E_tot in eV per atom: -7.744

abc: 6.790 6.790 6.099
angles: 123.82 123.82 90.00
Element x y z (fractional)
Pu: 0.250 0.750 0.500
Pu: 0.750 0.250 0.500
Se: 0.754 0.754 0.000
Se: 0.246 0.754 0.000
Se: 0.754 0.246 0.000
Se: 0.246 0.246 0.000
Si: 0.500 0.500 0.000